This record from Alexandria via LeMat-Bulk describes Ca2Co2F after structural relaxation. The functional is GGA+U.

Results
Space-group type: No. 127
Spin magnetization in μB per cell: 7.95
VASP energy in eV per atom: -3.59
Distance to the lowest polymorph of the same formula in meV per atom: 145

abc: 6.820 6.820 4.758
angles: 90.00 90.00 90.00
Last column: magnetic moment on the atom in μB.
Element x y z (fractional)
Co1 0.112 0.612 0.500  2.08
Co2 0.388 0.112 0.500  2.08
Co3 0.612 0.888 0.500  2.09
Ca1 0.812 0.688 0.000  -0.04
F1 0.000 0.000 0.000  0.00
Ca2 0.188 0.312 0.000  -0.04
Ca3 0.312 0.812 0.000  -0.04
F2 0.500 0.500 0.000  0.00
Ca4 0.688 0.188 0.000  -0.04
Co4 0.888 0.388 0.500  2.08

***

This record from Alexandria via LeMat-Bulk describes CaCoF after structural relaxation. The functional is GGA+U.

Results
Space-group type: No. 216
Spin magnetization in μB per cell: 2.00
VASP energy in eV per atom: -3.69
Distance to the lowest polymorph of the same formula in meV per atom: 913

abc: 4.354 4.354 4.354
angles: 60.00 60.00 60.00
Last column: magnetic moment on the atom in μB.
Element x y z (fractional)
Ca1 0.750 0.750 0.750  -0.09
F1 0.000 0.000 0.000  0.02
Co1 0.250 0.250 0.250  2.36

***

This record from Alexandria via LeMat-Bulk describes CaCoF after structural relaxation. The functional is GGA+U.

Results
Space-group type: No. 194
Spin magnetization in μB per cell: 3.68
VASP energy in eV per atom: -3.49
Distance to the lowest polymorph of the same formula in meV per atom: 1121

abc: 3.834 3.834 9.160
angles: 90.00 90.00 120.00
Last column: magnetic moment on the atom in μB.
Element x y z (fractional)
Ca1 0.000 0.000 0.500  -0.10
F1 0.667 0.333 0.750  0.02
Co1 0.667 0.333 0.250  2.23
Co2 0.333 0.667 0.750  2.22
F2 0.333 0.667 0.250  0.03
Ca2 0.000 0.000 0.000  -0.12

***

This record from Alexandria via LeMat-Bulk describes Ca2CoF8 after structural relaxation. The functional is GGA+U.

Results
Space-group type: No. 12
Spin magnetization in μB per cell: 3.05
VASP energy in eV per atom: -5.03

abc: 4.510 6.096 6.096
angles: 73.48 73.00 73.00
Last column: magnetic moment on the atom in μB.
Element x y z (fractional)
Ca1 0.633 0.656 0.656  0.00
Ca2 0.367 0.344 0.344  0.00
F1 0.184 0.592 0.592  0.04
F2 0.276 0.690 0.047  0.05
Co1 0.000 0.000 0.000  2.52
F3 0.724 0.310 0.953  0.05
F4 0.724 0.953 0.310  0.05
F5 0.224 0.110 0.110  0.09
F6 0.776 0.890 0.890  0.09
F7 0.816 0.408 0.408  0.04
F8 0.276 0.047 0.690  0.05